No. 1
A relaxed structure of K2Si2Pb2O. Source: Alexandria via LeMat-Bulk, functional PBE-GGA.

Cell and atoms, written as POSCAR:
```
K2Si2Pb2O
1.0
5.5738 0.0000 0.0000
-2.7869 4.8271 0.0000
0.0000 0.0000 6.6779
K Si Pb O
2 2 2 1
Direct
0.3333 0.6667 0.0000
0.6667 0.3333 0.0000
0.0000 0.0000 0.2686
0.0000 0.0000 0.7314
0.3333 0.6667 0.5000
0.6667 0.3333 0.5000
0.0000 0.0000 0.0000
```

- Spin magnetization: 0.0 Bohr magnetons per cell
- Raw total energy: -3.792 eV/atom
- Formation energy from raw total energies: -161 meV per atom
- Calculated density: 5.22 Mg/m³

No. 2
A relaxed structure of CaLaMn2. Source: Alexandria via LeMat-Bulk, functional PBE-GGA.

Cell and atoms, written as POSCAR:
```
CaLaMn2
1.0
-1.7633 2.4850 5.6243
1.7633 -2.4850 5.6243
1.7633 2.4850 -5.6243
Ca La Mn
1 1 2
Direct
0.0000 0.0000 0.0000
0.2818 0.7818 0.5000
0.5801 0.5801 0.0000
0.7124 0.2124 0.5000
```

- Spin magnetization: 1.1 Bohr magnetons per cell
- Raw total energy: -5.966 eV/atom
- Calculated density: 4.87 Mg/m³
- DFT formation energy: 0.35 eV/atom

No. 3
A relaxed structure of BaFe3Pb. Source: Alexandria via LeMat-Bulk, functional PBE-GGA.

Cell and atoms, written as POSCAR:
```
BaFe3Pb
1.0
5.0946 0.0000 0.0000
0.0000 5.0946 0.0000
0.0000 0.0000 5.0946
Ba Fe Pb
1 3 1
Direct
0.0000 0.0000 0.0000
0.0000 0.5000 0.5000
0.5000 0.0000 0.5000
0.5000 0.5000 0.0000
0.5000 0.5000 0.5000
```

- Spin magnetization: 8.0 Bohr magnetons per cell
- Raw total energy: -5.118 eV/atom
- E above lowest polymorph: 0.00 eV/f.u.
- Calculated density: 6.43 Mg/m³
- DFT formation energy: 1.09 eV/atom

No. 4
A relaxed structure of Y2SbOs. Source: Alexandria via LeMat-Bulk, functional PBE-GGA.

Cell and atoms, written as POSCAR:
```
Y2SbOs
1.0
4.2286 0.0000 0.0000
0.0000 4.1691 0.0000
-2.1125 0.0000 5.5493
Y Sb Os
2 1 1
Direct
0.0000 0.0000 0.0000
0.2849 0.5000 0.5738
0.5760 0.5000 0.1522
0.7314 0.0000 0.4705
```

- Spin magnetization: 0.0 Bohr magnetons per cell
- Raw total energy: -7.554 eV/atom
- Formation energy from raw total energies: -484 meV per atom
- Calculated density: 8.31 Mg/m³

No. 5
A relaxed structure of HfTc2HRh. Source: Alexandria via LeMat-Bulk, functional PBE-GGA.

Cell and atoms, written as POSCAR:
```
HfTc2HRh
1.0
3.9260 0.0000 0.0000
0.0000 3.9260 0.0000
0.0000 0.0000 4.2472
Hf Tc H Rh
1 2 1 1
Direct
0.0000 0.0000 0.0000
0.0000 0.5000 0.5000
0.5000 0.0000 0.5000
0.5000 0.5000 0.5000
0.5000 0.5000 0.0000
```

- Spin magnetization: 0.0 Bohr magnetons per cell
- Raw total energy: -8.511 eV/atom
- Calculated density: 12.14 Mg/m³

No. 6
A relaxed structure of H2PdBr8. Source: Alexandria via LeMat-Bulk, functional PBE-GGA.

Cell and atoms, written as POSCAR:
```
H2PdBr8
1.0
6.9316 -5.2886 0.0000
6.9316 5.2886 0.0000
-0.3407 0.0000 5.6332
H Pd Br
2 1 8
Direct
0.2187 0.2187 0.1932
0.7813 0.7813 0.8068
0.5000 0.5000 0.5000
0.1336 0.1336 0.0235
0.2973 0.6894 0.2485
0.3106 0.7027 0.7515
0.3197 0.3197 0.5224
0.6803 0.6803 0.4776
0.6894 0.2973 0.2485
0.7027 0.3106 0.7515
0.8664 0.8664 0.9765
```

- Spin magnetization: 0.0 Bohr magnetons per cell
- Raw total energy: -2.377 eV/atom
- Calculated density: 3.01 Mg/m³